No. 1
A geometry-optimized TaNb3Ga2 structure. Source: the Alexandria database, functional GGA-PBE.

Results
Formation energy in eV per atom: -0.237

The structure in CIF format:
```
data_TaNb3Ga2
_chemical_formula_sum 'Ta2 Nb6 Ga4'
_cell_length_a 4.344
_cell_length_b 13.137
_cell_length_c 3.618
_cell_angle_alpha 90.00
_cell_angle_beta 90.00
_cell_angle_gamma 90.00
_symmetry_space_group_name_H-M 'C m m m'
_symmetry_Int_Tables_number 65
_symmetry_space_group_name_Hall '-C 2 2'
loop_
_atom_site_label
_atom_site_type_symbol
_atom_site_fract_x
_atom_site_fract_y
_atom_site_fract_z
_atom_site_occupancy
Ta1 Ta 0.000 0.000 0.000 1
Nb1 Nb 0.000 0.175 0.500 1
Nb2 Nb 0.000 0.500 0.500 1
Ga1 Ga 0.000 0.342 0.000 1
```

No. 2
A geometry-optimized Sr6As2Br3Cl structure. Source: the Alexandria database, functional GGA-PBE.

Results
Formation energy without anion corrections in eV/f.u.: -18.6

The structure in CIF format:
```
data_Sr6As2Br3Cl
_chemical_formula_sum 'Sr12 As4 Br6 Cl2'
_cell_length_a 19.703
_cell_length_b 4.557
_cell_length_c 9.037
_cell_angle_alpha 90.00
_cell_angle_beta 104.34
_cell_angle_gamma 90.00
_symmetry_space_group_name_H-M 'C 1 2/m 1'
_symmetry_Int_Tables_number 12
loop_
_symmetry_equiv_pos_as_xyz
'x,y,z'
'-x,-y,-z'
'-x,y,-z'
'x,-y,z'
'x+1/2,y+1/2,z'
'-x+1/2,-y+1/2,-z'
'-x+1/2,y+1/2,-z'
'x+1/2,-y+1/2,z'
loop_
_atom_site_label
_atom_site_type_symbol
_atom_site_fract_x
_atom_site_fract_y
_atom_site_fract_z
_atom_site_occupancy
Sr1 Sr 0.006 0.000 0.246 1
Sr2 Sr 0.164 0.500 0.103 1
Sr3 Sr 0.174 0.500 0.562 1
As1 As 0.163 0.000 0.325 1
Br1 Br 0.000 0.500 0.500 1
Br2 Br 0.166 0.000 0.835 1
Cl1 Cl 0.000 0.500 0.000 1
```

No. 3
A geometry-optimized HfV6Ge8 structure. Source: the Alexandria database, functional GGA-PBE.

Results
Formation energy in eV per atom: -0.129

The structure in CIF format:
```
data_HfV6Ge8
_chemical_formula_sum 'Hf3 V18 Ge24'
_cell_length_a 7.3197
_cell_length_b 7.3197
_cell_length_c 15.3779
_cell_angle_alpha 90.00
_cell_angle_beta 90.00
_cell_angle_gamma 120.00
_symmetry_space_group_name_H-M 'R -3'
_symmetry_Int_Tables_number 148
_symmetry_space_group_name_Hall '-R 3'
loop_
_atom_site_label
_atom_site_type_symbol
_atom_site_fract_x
_atom_site_fract_y
_atom_site_fract_z
_atom_site_occupancy
Hf1 Hf 0.0000 0.0000 0.0000 1
V1 V 0.0051 0.7446 0.4046 1
Ge1 Ge 0.0000 0.0000 0.2929 1
Ge2 Ge 0.0211 0.6245 0.5617 1
```

No. 4
A geometry-optimized CsSrCr2I8 structure. Source: the Alexandria database, functional GGA-PBE.

Results
Formation energy without anion corrections in eV/f.u.: -9.2

The structure in CIF format:
```
data_CsSrCr2I8
_chemical_formula_sum 'Cs3 Sr3 Cr6 I24'
_cell_length_a 7.7425
_cell_length_b 7.7425
_cell_length_c 32.3513
_cell_angle_alpha 90.00
_cell_angle_beta 90.00
_cell_angle_gamma 120.00
_symmetry_space_group_name_H-M 'R -3'
_symmetry_Int_Tables_number 148
_symmetry_space_group_name_Hall '-R 3'
loop_
_atom_site_label
_atom_site_type_symbol
_atom_site_fract_x
_atom_site_fract_y
_atom_site_fract_z
_atom_site_occupancy
Cs1 Cs 0.0000 0.0000 0.0000 1
Sr1 Sr 0.0000 0.0000 0.5000 1
Cr1 Cr 0.0000 0.0000 0.2466 1
I1 I 0.0000 0.0000 0.3264 1
I2 I 0.0067 0.6825 0.8944 1
```

No. 5
A geometry-optimized SnS structure. Source: the Alexandria database, functional GGA-PBE.

Results
Formation energy without anion corrections in eV/f.u.: -0.8

The structure in CIF format:
```
data_SnS
_chemical_formula_sum 'Sn4 S4'
_cell_length_a 5.838
_cell_length_b 5.838
_cell_length_c 5.838
_cell_angle_alpha 90.00
_cell_angle_beta 90.00
_cell_angle_gamma 90.00
_symmetry_space_group_name_H-M 'F m -3 m'
_symmetry_Int_Tables_number 225
_symmetry_space_group_name_Hall '-F 4 2 3'
loop_
_atom_site_label
_atom_site_type_symbol
_atom_site_fract_x
_atom_site_fract_y
_atom_site_fract_z
_atom_site_occupancy
Sn1 Sn 0.000 0.000 0.000 1
S1 S 0.000 0.000 0.500 1
```

No. 6
A geometry-optimized Tb2TmThSc structure. Source: the Alexandria database, functional GGA-PBE.

Results
Formation energy in eV per atom: 0.297

The structure in CIF format:
```
data_Tb2TmThSc
_chemical_formula_sum 'Tb4 Tm2 Th2 Sc2'
_cell_length_a 6.156
_cell_length_b 7.711
_cell_length_c 6.607
_cell_angle_alpha 90.00
_cell_angle_beta 90.00
_cell_angle_gamma 90.00
_symmetry_space_group_name_H-M 'P m m a'
_symmetry_Int_Tables_number 51
loop_
_symmetry_equiv_pos_as_xyz
'x,y,z'
'-x,-y,-z'
'-x+1/2,-y,z'
'x+1/2,y,-z'
'x+1/2,-y,-z'
'-x+1/2,y,z'
'-x,y,-z'
'x,-y,z'
loop_
_atom_site_label
_atom_site_type_symbol
_atom_site_fract_x
_atom_site_fract_y
_atom_site_fract_z
_atom_site_occupancy
Tb1 Tb 0.250 0.207 0.220 1
Tm1 Tm 0.250 0.000 0.683 1
Th1 Th 0.250 0.500 0.907 1
Sc1 Sc 0.000 0.500 0.500 1
```

No. 7
A geometry-optimized UCuSe3 structure. Source: the Alexandria database, functional GGA-PBE.

Results
Distance to the lowest polymorph of the same formula in meV per atom: 35.3
Formation energy without anion corrections in eV/f.u.: -3.6

The structure in CIF format:
```
data_UCuSe3
_chemical_formula_sum 'U2 Cu2 Se6'
_cell_length_a 6.961
_cell_length_b 3.850
_cell_length_c 8.135
_cell_angle_alpha 90.00
_cell_angle_beta 93.65
_cell_angle_gamma 90.00
_symmetry_space_group_name_H-M 'P 1 21/m 1'
_symmetry_Int_Tables_number 11
loop_
_symmetry_equiv_pos_as_xyz
'x,y,z'
'-x,-y,-z'
'-x,y+1/2,-z'
'x,-y+1/2,z'
loop_
_atom_site_label
_atom_site_type_symbol
_atom_site_fract_x
_atom_site_fract_y
_atom_site_fract_z
_atom_site_occupancy
U1 U 0.125 0.250 0.278 1
Cu1 Cu 0.368 0.750 0.818 1
Se1 Se 0.121 0.250 0.886 1
Se2 Se 0.218 0.750 0.530 1
Se3 Se 0.393 0.750 0.158 1
```

No. 8
A geometry-optimized Cs3CrW structure. Source: the Alexandria database, functional GGA-PBE.

Results
Distance to the lowest polymorph of the same formula in meV per atom: 0.0
Formation energy in eV per atom: 1.903

The structure in CIF format:
```
data_Cs3CrW
_chemical_formula_sum 'Cs3 Cr1 W1'
_cell_length_a 7.124
_cell_length_b 7.124
_cell_length_c 7.124
_cell_angle_alpha 90.00
_cell_angle_beta 90.00
_cell_angle_gamma 90.00
_symmetry_space_group_name_H-M 'P m -3 m'
_symmetry_Int_Tables_number 221
_symmetry_space_group_name_Hall '-P 4 2 3'
loop_
_atom_site_label
_atom_site_type_symbol
_atom_site_fract_x
_atom_site_fract_y
_atom_site_fract_z
_atom_site_occupancy
Cs1 Cs 0.000 0.000 0.500 1
Cr1 Cr 0.000 0.000 0.000 1
W1 W 0.500 0.500 0.500 1
```

No. 9
A geometry-optimized TcSbO4 structure. Source: the Alexandria database, functional GGA-PBE.

Results
Distance to the lowest polymorph of the same formula in meV per atom: 375.5
Formation energy without anion corrections in eV/f.u.: -5.8

The structure in CIF format:
```
data_TcSbO4
_chemical_formula_sum 'Tc2 Sb2 O8'
_cell_length_a 4.577
_cell_length_b 4.577
_cell_length_c 11.190
_cell_angle_alpha 90.00
_cell_angle_beta 90.00
_cell_angle_gamma 90.00
_symmetry_space_group_name_H-M 'P -4 2 c'
_symmetry_Int_Tables_number 112
loop_
_symmetry_equiv_pos_as_xyz
'x,y,z'
'y,-x,-z'
'-x,-y,z'
'-y,x,-z'
'x,-y,-z+1/2'
'y,x,z+1/2'
'-x,y,-z+1/2'
'-y,-x,z+1/2'
loop_
_atom_site_label
_atom_site_type_symbol
_atom_site_fract_x
_atom_site_fract_y
_atom_site_fract_z
_atom_site_occupancy
Tc1 Tc 0.000 0.000 0.000 1
Sb1 Sb 0.000 0.500 0.250 1
O1 O 0.197 0.230 0.396 1
```

No. 10
A geometry-optimized Sm3Y2Ho8 structure. Source: the Alexandria database, functional GGA-PBE.

Results
Distance to the lowest polymorph of the same formula in meV per atom: 0.0
Formation energy in eV per atom: 0.069

The structure in CIF format:
```
data_Sm3Y2Ho8
_chemical_formula_sum 'Sm3 Y2 Ho8'
_cell_length_a 6.098
_cell_length_b 8.369
_cell_length_c 9.644
_cell_angle_alpha 64.81
_cell_angle_beta 76.13
_cell_angle_gamma 71.24
_symmetry_space_group_name_H-M 'P -1'
_symmetry_Int_Tables_number 2
loop_
_symmetry_equiv_pos_as_xyz
'x,y,z'
'-x,-y,-z'
loop_
_atom_site_label
_atom_site_type_symbol
_atom_site_fract_x
_atom_site_fract_y
_atom_site_fract_z
_atom_site_occupancy
Sm1 Sm 0.000 0.000 0.000 1
Sm2 Sm 0.431 0.230 0.853 1
Y1 Y 0.308 0.695 0.531 1
Ho1 Ho 0.134 0.536 0.303 1
Ho2 Ho 0.217 0.146 0.239 1
Ho3 Ho 0.241 0.082 0.613 1
Ho4 Ho 0.297 0.638 0.902 1
```

Number 1: total DFT energy (no corrections) -8.26 eV per atom. Number 2: total DFT energy (no corrections) -3.74 eV per atom. Number 3: total DFT energy (no corrections) -6.90 eV per atom. Number 4: total DFT energy (no corrections) -3.62 eV per atom. Number 5: total DFT energy (no corrections) -4.47 eV per atom. Number 6: total DFT energy (no corrections) -5.20 eV per atom. Number 7: total DFT energy (no corrections) -5.89 eV per atom. Number 8: total DFT energy (no corrections) -3.12 eV per atom. Number 9: total DFT energy (no corrections) -6.68 eV per atom. Number 10: total DFT energy (no corrections) -4.83 eV per atom.